Model 1:
First-principles (PBE) data for a relaxed Sm7TmSc4 crystal, as listed in Alexandria via LeMat-Bulk.

Calculated values
Volume = 362 Å³/cell
N(E_F) = 1.36 states/eV per atom

Lattice parameters (Å, degrees): 7.0498 9.3299 8.6563 81.07 89.96 40.93
With the nearest neighbours (Å) after each atom.
Positions (direct):
Sm1 0.2230 0.7772 0.6642  6 Sm 3.43-3.59, 5 Sc 3.44-3.58, 1 Tm 3.49
Sc1 0.4705 0.2720 0.6636  3 Sc 3.36-3.57, 8 Sm 3.40-3.61, 1 Tm 3.50
Sm2 0.5000 0.0000 0.0000  4 Sc 3.45-3.50, 6 Sm 3.47-3.54, 2 Tm 3.52
Sc2 0.7137 0.7854 0.6594  4 Sc 3.33-3.57, 8 Sm 3.38-3.54
Sc3 0.2863 0.2146 0.3406  4 Sc 3.33-3.57, 8 Sm 3.38-3.54
Sm3 0.2467 0.4967 0.9921  7 Sm 3.44-3.62, 3 Sc 3.44-3.54, 2 Tm 3.52-3.58
Sm4 0.0321 0.7132 0.3399  6 Sc 3.38-3.61, 5 Sm 3.43-3.59, 1 Tm 3.54
Sm5 0.9679 0.2868 0.6601  6 Sc 3.38-3.61, 5 Sm 3.43-3.59, 1 Tm 3.54
Sm6 0.7770 0.2228 0.3358  6 Sm 3.43-3.59, 5 Sc 3.44-3.58, 1 Tm 3.49
Sc4 0.5295 0.7280 0.3364  3 Sc 3.36-3.57, 8 Sm 3.40-3.61, 1 Tm 3.50
Sm7 0.7533 0.5033 0.0079  7 Sm 3.44-3.62, 3 Sc 3.44-3.54, 2 Tm 3.52-3.58
Tm1 0.0000 0.0000 0.0000  10 Sm 3.49-3.58, 2 Sc 3.50


Model 2:
First-principles (PBE) data for a relaxed Sm7TmSc4 crystal, as listed in Alexandria via LeMat-Bulk.

Calculated values
Volume = 370 Å³/cell
N(E_F) = 1.71 states/eV per atom

Lattice parameters (Å, degrees): 5.8286 9.1871 8.3097 65.03 69.47 71.51
With the nearest neighbours (Å) after each atom.
Positions (direct):
Sc1 0.6649 0.6511 0.0191  5 Sm 2.99-3.33, 1 Sc 3.23
Sc2 0.5559 0.3004 0.5878  2 Sm 3.09-3.36, 2 Sc 3.23-3.26
Sm1 0.7621 0.2737 0.2022  4 Sc 3.09-3.33, 1 Tm 3.28, 2 Sm 3.45-3.46
Sm2 0.2082 0.1153 0.4683  6 Sm 3.46-3.57, 4 Sc 3.61-3.80
Sm3 0.7918 0.8847 0.5317  6 Sm 3.46-3.57, 4 Sc 3.61-3.80
Sm4 0.0889 0.5519 0.2702  5 Sc 3.31-3.52, 3 Sm 3.37-3.57
Sc3 0.3351 0.3489 0.9809  5 Sm 2.99-3.33, 1 Sc 3.23
Sm5 0.9111 0.4481 0.7298  5 Sc 3.31-3.52, 3 Sm 3.37-3.57
Sc4 0.4441 0.6996 0.4122  2 Sm 3.09-3.36, 2 Sc 3.23-3.26
Tm1 0.0000 0.0000 0.0000  2 Sm 2.91
Sm6 0.2379 0.7263 0.7978  4 Sc 3.09-3.33, 1 Tm 3.28, 2 Sm 3.45-3.46
Sm7 0.5000 0.0000 0.0000  2 Tm 2.91, 2 Sc 2.99


model 1 is the most stable structure; the next one sits 208 meV/atom above it.